# TlCrCd2, relaxed, DFT PBE-GGA
# Relative energy among the computed polymorphs, eV/f.u.: 0.41
data_TlCrCd2
_chemical_formula_sum 'Tl4 Cr4 Cd8'
_space_group_name_H-M_alt 'F m -3 m'
_space_group_IT_number 225
_space_group_name_Hall '-F 4 2 3'
_cell_length_a 7.127
_cell_length_b 7.127
_cell_length_c 7.127
_cell_angle_alpha 90.00
_cell_angle_beta 90.00
_cell_angle_gamma 90.00
loop_
_atom_site_label
_atom_site_fract_x
_atom_site_fract_y
_atom_site_fract_z
Tl1 0.000 0.000 0.000
Cr1 0.000 0.000 0.500
Cd1 0.250 0.250 0.250



# Tl2CrCd, relaxed, DFT PBE-GGA
# Relative energy among the computed polymorphs, eV/f.u.: 0.07
data_Tl2CrCd
_chemical_formula_sum 'Tl4 Cr2 Cd2'
_space_group_name_H-M_alt 'C 1 m 1'
_space_group_IT_number 8
_space_group_name_Hall 'C -2y'
_cell_length_a 13.827
_cell_length_b 3.144
_cell_length_c 4.851
_cell_angle_alpha 90.00
_cell_angle_beta 110.46
_cell_angle_gamma 90.00
loop_
_atom_site_label
_atom_site_fract_x
_atom_site_fract_y
_atom_site_fract_z
Tl1 0.000 0.000 0.000
Tl2 0.207 0.000 0.707
Cr1 0.200 0.500 0.201
Cd1 0.390 0.000 0.390



# TlCrCd2, relaxed, DFT PBE-GGA
# Relative energy among the computed polymorphs, eV/f.u.: 0.20
data_TlCrCd2
_chemical_formula_sum 'Tl1 Cr1 Cd2'
_space_group_name_H-M_alt 'P 4 m m'
_space_group_IT_number 99
_space_group_name_Hall 'P 4 -2'
_cell_length_a 3.280
_cell_length_b 3.280
_cell_length_c 8.219
_cell_angle_alpha 90.00
_cell_angle_beta 90.00
_cell_angle_gamma 90.00
loop_
_atom_site_label
_atom_site_fract_x
_atom_site_fract_y
_atom_site_fract_z
Tl1 0.000 0.000 0.000
Cr1 0.500 0.500 0.758
Cd1 0.000 0.000 0.541
Cd2 0.500 0.500 0.287



# Tl2CrCd, relaxed, DFT PBE-GGA
# Relative energy among the computed polymorphs, eV/f.u.: 0.23
data_Tl2CrCd
_chemical_formula_sum 'Tl2 Cr1 Cd1'
_space_group_name_H-M_alt 'P 1 m 1'
_space_group_IT_number 6
_space_group_name_Hall 'P -2y'
_cell_length_a 3.594
_cell_length_b 4.834
_cell_length_c 5.933
_cell_angle_alpha 90.00
_cell_angle_beta 106.85
_cell_angle_gamma 90.00
loop_
_atom_site_label
_atom_site_fract_x
_atom_site_fract_y
_atom_site_fract_z
Tl1 0.000 0.000 0.000
Tl2 0.318 0.500 0.641
Cr1 0.737 0.000 0.474
Cd1 0.589 0.500 0.182



# Tl2CrCd, relaxed, DFT PBE-GGA
# Relative energy among the computed polymorphs, eV/f.u.: 0.63
data_Tl2CrCd
_chemical_formula_sum 'Tl8 Cr4 Cd4'
_space_group_name_H-M_alt 'I -4 2 d'
_space_group_IT_number 122
_space_group_name_Hall 'I -4 2bw'
_cell_length_a 4.478
_cell_length_b 4.478
_cell_length_c 20.778
_cell_angle_alpha 90.00
_cell_angle_beta 90.00
_cell_angle_gamma 90.00
loop_
_atom_site_label
_atom_site_fract_x
_atom_site_fract_y
_atom_site_fract_z
Tl1 0.241 0.250 0.125
Cr1 0.000 0.000 0.000
Cd1 0.000 0.000 0.500



# Tl2CrCd, relaxed, DFT PBE-GGA
# Relative energy among the computed polymorphs, eV/f.u.: 0.39
data_Tl2CrCd
_chemical_formula_sum 'Tl4 Cr2 Cd2'
_space_group_name_H-M_alt 'C 1 2/m 1'
_space_group_IT_number 12
_space_group_name_Hall '-C 2y'
_cell_length_a 6.480
_cell_length_b 10.265
_cell_length_c 3.338
_cell_angle_alpha 90.00
_cell_angle_beta 116.76
_cell_angle_gamma 90.00
loop_
_atom_site_label
_atom_site_fract_x
_atom_site_fract_y
_atom_site_fract_z
Tl1 0.250 0.250 0.000
Cr1 0.000 0.000 0.500
Cd1 0.000 0.500 0.500



# TlCrCd2, relaxed, DFT PBE-GGA
# Relative energy among the computed polymorphs, eV/f.u.: 0.32
data_TlCrCd2
_chemical_formula_sum 'Tl4 Cr4 Cd8'
_space_group_name_H-M_alt 'F -4 3 m'
_space_group_IT_number 216
_space_group_name_Hall 'F -4 2 3'
_cell_length_a 7.034
_cell_length_b 7.034
_cell_length_c 7.034
_cell_angle_alpha 90.00
_cell_angle_beta 90.00
_cell_angle_gamma 90.00
loop_
_atom_site_label
_atom_site_fract_x
_atom_site_fract_y
_atom_site_fract_z
Tl1 0.000 0.000 0.000
Cr1 0.250 0.250 0.250
Cd1 0.000 0.000 0.500
Cd2 0.250 0.250 0.750



# TlCrCd2, relaxed, DFT PBE-GGA
# Relative energy among the computed polymorphs, eV/f.u.: 0.13
data_TlCrCd2
_chemical_formula_sum 'Tl2 Cr2 Cd4'
_space_group_name_H-M_alt 'I m m m'
_space_group_IT_number 71
_space_group_name_Hall '-I 2 2'
_cell_length_a 3.181
_cell_length_b 4.835
_cell_length_c 11.643
_cell_angle_alpha 90.00
_cell_angle_beta 90.00
_cell_angle_gamma 90.00
loop_
_atom_site_label
_atom_site_fract_x
_atom_site_fract_y
_atom_site_fract_z
Tl1 0.000 0.000 0.000
Cr1 0.000 0.000 0.500
Cd1 0.000 0.500 0.210



# Tl2CrCd, relaxed, DFT PBE-GGA
# Relative energy among the computed polymorphs, eV/f.u.: 0.27
data_Tl2CrCd
_chemical_formula_sum 'Tl4 Cr2 Cd2'
_space_group_name_H-M_alt 'C m m m'
_space_group_IT_number 65
_space_group_name_Hall '-C 2 2'
_cell_length_a 7.014
_cell_length_b 7.024
_cell_length_c 3.905
_cell_angle_alpha 90.00
_cell_angle_beta 90.00
_cell_angle_gamma 90.00
loop_
_atom_site_label
_atom_site_fract_x
_atom_site_fract_y
_atom_site_fract_z
Tl1 0.250 0.250 0.000
Cr1 0.000 0.000 0.500
Cd1 0.000 0.500 0.500



# TlCrCd2, relaxed, DFT PBE-GGA
# Relative energy among the computed polymorphs, eV/f.u.: 0.26
data_TlCrCd2
_chemical_formula_sum 'Tl2 Cr2 Cd4'
_space_group_name_H-M_alt 'C 1 m 1'
_space_group_IT_number 8
_space_group_name_Hall 'C -2y'
_cell_length_a 11.062
_cell_length_b 3.247
_cell_length_c 5.538
_cell_angle_alpha 90.00
_cell_angle_beta 117.00
_cell_angle_gamma 90.00
loop_
_atom_site_label
_atom_site_fract_x
_atom_site_fract_y
_atom_site_fract_z
Tl1 0.000 0.000 0.000
Cr1 0.257 0.000 0.917
Cd1 0.028 0.500 0.524
Cd2 0.268 0.500 0.401



# TlCrCd2, relaxed, DFT PBE-GGA
# Relative energy among the computed polymorphs, eV/f.u.: 0.22
data_TlCrCd2
_chemical_formula_sum 'Tl1 Cr1 Cd2'
_space_group_name_H-M_alt 'P m m m'
_space_group_IT_number 47
_space_group_name_Hall '-P 2 2'
_cell_length_a 4.344
_cell_length_b 4.357
_cell_length_c 4.553
_cell_angle_alpha 90.00
_cell_angle_beta 90.00
_cell_angle_gamma 90.00
loop_
_atom_site_label
_atom_site_fract_x
_atom_site_fract_y
_atom_site_fract_z
Tl1 0.000 0.000 0.000
Cr1 0.500 0.500 0.000
Cd1 0.000 0.500 0.500
Cd2 0.500 0.000 0.500



# Tl2CrCd, relaxed, DFT PBE-GGA
# Relative energy among the computed polymorphs, eV/f.u.: 0.00
data_Tl2CrCd
_chemical_formula_sum 'Tl2 Cr1 Cd1'
_space_group_name_H-M_alt 'P m m 2'
_space_group_IT_number 25
_space_group_name_Hall 'P 2 -2'
_cell_length_a 3.335
_cell_length_b 3.434
_cell_length_c 8.534
_cell_angle_alpha 90.00
_cell_angle_beta 90.00
_cell_angle_gamma 90.00
loop_
_atom_site_label
_atom_site_fract_x
_atom_site_fract_y
_atom_site_fract_z
Tl1 0.000 0.000 0.000
Tl2 0.500 0.500 0.305
Cr1 0.500 0.500 0.781
Cd1 0.000 0.000 0.583



# TlCrCd2, relaxed, DFT PBE-GGA
# Relative energy among the computed polymorphs, eV/f.u.: 0.77
data_TlCrCd2
_chemical_formula_sum 'Tl4 Cr4 Cd8'
_space_group_name_H-M_alt 'I -4 2 d'
_space_group_IT_number 122
_space_group_name_Hall 'I -4 2bw'
_cell_length_a 8.254
_cell_length_b 8.254
_cell_length_c 5.747
_cell_angle_alpha 90.00
_cell_angle_beta 90.00
_cell_angle_gamma 90.00
loop_
_atom_site_label
_atom_site_fract_x
_atom_site_fract_y
_atom_site_fract_z
Tl1 0.000 0.000 0.000
Cr1 0.000 0.000 0.500
Cd1 0.220 0.250 0.625



A plane-wave DFT calculation with PBE-GGA was carried out for a relaxed structure of Tl4CrCd.

```
data_Tl4CrCd
_chemical_formula_sum 'Tl16 Cr4 Cd4'
_space_group_name_H-M_alt 'F -4 3 m'
_space_group_IT_number 216
_space_group_name_Hall 'F -4 2 3'
_cell_length_a 8.980
_cell_length_b 8.980
_cell_length_c 8.980
_cell_angle_alpha 90.00
_cell_angle_beta 90.00
_cell_angle_gamma 90.00
loop_
_atom_site_label
_atom_site_fract_x
_atom_site_fract_y
_atom_site_fract_z
Tl1 0.125 0.125 0.125
Cr1 0.000 0.000 0.500
Cd1 0.250 0.250 0.750
```



# TlCrCd2, relaxed, DFT PBE-GGA
# Relative energy among the computed polymorphs, eV/f.u.: 0.22
data_TlCrCd2
_chemical_formula_sum 'Tl2 Cr2 Cd4'
_space_group_name_H-M_alt 'I -4 m 2'
_space_group_IT_number 119
_space_group_name_Hall 'I -4 -2'
_cell_length_a 4.525
_cell_length_b 4.525
_cell_length_c 8.513
_cell_angle_alpha 90.00
_cell_angle_beta 90.00
_cell_angle_gamma 90.00
loop_
_atom_site_label
_atom_site_fract_x
_atom_site_fract_y
_atom_site_fract_z
Tl1 0.000 0.000 0.000
Cr1 0.000 0.500 0.750
Cd1 0.000 0.000 0.500
Cd2 0.000 0.500 0.250



no.,DFT formation energy (eV/atom)
1,0.395
2,0.367
3,0.341
4,0.407
5,0.507
6,0.446
7,0.373
8,0.324
9,0.417
10,0.358
11,0.346
12,0.349
13,0.484
14,0.520
15,0.347